Computed, not measured: a relaxed CsVAgBr6 crystal at the PBE level of DFT.

Results
The value obtained for the formation energy without anion corrections is -0.876 eV/atom.

Cell: 7.1285 7.1285 7.9412 Å, 90.00 90.00 120.00°
Space group P312 (No. 149)
One atom of each set of equivalent atoms:
Cs  0.0000  0.0000  0.0000
V  0.6667  0.3333  0.5000
Ag  0.3333  0.6667  0.5000
Br  0.3906  0.0375  0.6830


Computed, not measured: a relaxed Pr6Dy3Tl crystal at the PBE level of DFT.

Results
The calculation puts the formation energy at 0.02 eV/atom.

Cell: 12.526 3.656 15.021 Å, 90.00 94.07 90.00°
Space group P2_1/m (No. 11)
One atom of each set of equivalent atoms:
Pr  0.063  0.250  0.391
Pr  0.119  0.750  0.955
Pr  0.201  0.250  0.751
Pr  0.296  0.750  0.313
Pr  0.311  0.250  0.108
Pr  0.388  0.250  0.499
Dy  0.073  0.750  0.182
Dy  0.400  0.750  0.919
Dy  0.448  0.750  0.698
Tl  0.190  0.750  0.559


Computed, not measured: a relaxed ZrNpP crystal at the PBE level of DFT.

Results
The calculation puts the formation energy at -0.25 eV/atom.

Cell: 3.433 4.102 4.766 Å, 90.00 90.00 90.00°
Space group Pmmm (No. 47)
One atom of each set of equivalent atoms:
Zr  0.000  0.000  0.000
Np  0.000  0.500  0.500
P  0.500  0.500  0.000


Computed, not measured: a relaxed CaTeAs2 crystal at the PBE level of DFT.

Results
The value obtained for the formation energy without anion corrections is -0.378 eV/atom.

Cell: 4.267 4.267 5.938 Å, 90.00 90.00 90.00°
Space group P4/mmm (No. 123)
One atom of each set of equivalent atoms:
Ca  0.000  0.000  0.000
Te  0.000  0.000  0.500
As  0.500  0.500  0.198


Question: Number 3 is which compound?
Answer: ZrNpP